Entry 1:
A plane-wave DFT calculation with PBE was carried out for a relaxed structure of UCo2B4.

abc: 3.0086 3.0815 7.5047
angles: 101.87 101.56 90.00
Last column: nearest neighbours and their distance in Å.
Fractional coordinates of all 7 atoms:
U  0.5000  0.0000  0.0000  12 B 2.63-2.79
Co  0.8053  0.8052  0.6106  7 B 2.01-2.21
Co  0.1947  0.1948  0.3894  7 B 2.01-2.21
B  0.3383  0.3385  0.6765  2 B 1.71
B  0.1053  0.6052  0.2106  2 B 1.71
B  0.6617  0.6615  0.3235  2 B 1.71
B  0.8947  0.3948  0.7894  2 B 1.71

The volume is 9.5 A^3/atom. For the total magnetization, the calculation gives 0.0 μB per formula unit. For the total DFT energy (no corrections), the calculation gives -7.79 eV per atom. Its crystal system is orthorhombic. Its symmetry is Immm, No. 71.

Entry 2:
A plane-wave DFT calculation with PBE was carried out for a relaxed structure of UCo3B3.

abc: 3.1255 7.7436 7.7433
angles: 120.00 90.00 90.00
Last column: nearest neighbours and their distance in Å.
Fractional coordinates of all 14 atoms:
Co  0.7500  0.7451  0.0958  4 B 2.03-2.15
Co  0.7500  0.3507  0.2549  4 B 2.03-2.15
Co  0.2500  0.0958  0.3507  4 B 2.03-2.15
Co  0.7500  0.9042  0.6493  4 B 2.03-2.15
Co  0.2500  0.6493  0.7451  4 B 2.03-2.15
Co  0.2500  0.2549  0.9042  4 B 2.03-2.15
B  0.2500  0.4062  0.4434  2 B 2.01, 4 Co 2.03-2.15
B  0.2500  0.5566  0.9628  2 B 2.01, 4 Co 2.03-2.15
B  0.7500  0.5938  0.5566  2 B 2.01, 4 Co 2.03-2.15
B  0.7500  0.9628  0.4062  2 B 2.01, 4 Co 2.03-2.15
B  0.7500  0.4434  0.0372  2 B 2.01, 4 Co 2.03-2.15
B  0.2500  0.0372  0.5938  2 B 2.01, 4 Co 2.03-2.15
U  0.7500  0.3333  0.6667  9 B 2.55-2.59, 6 Co 2.70
U  0.2500  0.6667  0.3333  9 B 2.55-2.59, 6 Co 2.70

As for the excess energy over the best structure of this formula in the dataset: 0.0 meV/atom. The volume is 11.6 A^3/atom. For the total magnetization, the calculation gives 0.0 μB per formula unit. For the total DFT energy (no corrections), the calculation gives -7.61 eV per atom. Its crystal system is hexagonal. Its symmetry is P6_3/m, No. 176.

Entry 3:
A plane-wave DFT calculation with PBE was carried out for a relaxed structure of UCo5B2.

abc: 3.4158 5.4243 5.4243
angles: 67.18 71.65 71.65
Last column: nearest neighbours and their distance in Å.
Fractional coordinates of all 8 atoms:
B  0.2369  0.2631  0.2631  7 Co 1.98-2.21
B  0.7631  0.7369  0.7369  7 Co 1.98-2.21
U  0.0000  0.0000  0.0000  10 Co 2.78-3.00, 4 B 2.79
Co  0.0000  0.5000  0.5000  2 B 1.98
Co  0.3500  0.8495  0.4506  3 B 2.04-2.21
Co  0.6500  0.1505  0.5494  3 B 2.04-2.21
Co  0.3500  0.4506  0.8495  3 B 2.04-2.21
Co  0.6500  0.5494  0.1505  3 B 2.04-2.21

The volume is 10.7 A^3/atom. For the total magnetization, the calculation gives 0.1 μB per formula unit. For the total DFT energy (no corrections), the calculation gives -7.81 eV per atom. Its crystal system is orthorhombic. Its symmetry is Immm, No. 71.